The following is a DFT calculation (PBEsol) of a relaxed Eu3InO crystal.

Lattice parameters (Å, degrees): 4.947 4.947 4.947 90.00 90.00 90.00
Each line ends with the local moment (μB).
Element x y z (fractional)
Eu: 0.000 0.500 0.500  6.85
Eu: 0.500 0.500 0.000  6.85
Eu: 0.500 0.000 0.500  6.85
In: 0.000 0.000 0.000  0.00
O: 0.500 0.500 0.500  -0.10

Properties
Calculated volume   24.21 A^3/atom
Uncorrected formation energy   -7.11 eV/f.u.